DFT (PBE) results for a relaxed HfSbIN2 crystal.

## Properties
D(E_F) = 0.622 states/eV/atom
uncorrected energy = -24.8 eV per cell
ρ = 7.60 g/cm³
formation energy from raw total energies = 1.50 eV/atom

Cell lengths 4.170, 4.170, 5.721 Å; angles 90.00, 90.00, 90.00 degrees
Atoms (fractional coordinates):
Hf  0.500  0.500  0.500
N  0.500  0.000  0.000
N  0.000  0.500  0.000
Sb  0.000  0.000  0.000
I  0.000  0.000  0.500

DFT (PBE) results for a relaxed HfSbI2N crystal.

## Properties
D(E_F) = 0.534 states/eV/atom
uncorrected energy = -25.2 eV per cell
ρ = 6.68 g/cm³
formation energy from raw total energies = 0.05 eV/atom

Cell lengths 5.979, 5.979, 3.951 Å; angles 90.00, 90.00, 90.00 degrees
Atoms (fractional coordinates):
N  0.000  0.000  0.500
Hf  0.000  0.000  0.000
I  0.000  0.500  0.000
I  0.500  0.000  0.000
Sb  0.500  0.500  0.500

DFT (PBE) results for a relaxed HfSbI2N crystal.

## Properties
D(E_F) = 1.161 states/eV/atom
uncorrected energy = -20.3 eV per cell
ρ = 6.31 g/cm³
formation energy from raw total energies = 1.04 eV/atom

Cell lengths 6.179, 6.179, 3.918 Å; angles 90.00, 90.00, 90.00 degrees
Atoms (fractional coordinates):
N  0.000  0.000  0.500
I  0.500  0.000  0.000
Hf  0.500  0.500  0.500
I  0.000  0.500  0.000
Sb  0.000  0.000  0.000

DFT (PBE) results for a relaxed HfSb2IN crystal.

## Properties
D(E_F) = 0.415 states/eV/atom
uncorrected energy = -24.7 eV per cell
ρ = 8.68 g/cm³
formation energy from raw total energies = 0.67 eV/atom

Cell lengths 4.793, 4.793, 4.687 Å; angles 90.00, 90.00, 90.00 degrees
Atoms (fractional coordinates):
Sb  0.000  0.500  0.000
N  0.000  0.000  0.000
Sb  0.500  0.000  0.000
Hf  0.500  0.500  0.500
I  0.000  0.000  0.500

DFT (PBE) results for a relaxed HfSb2IN crystal.

## Properties
D(E_F) = 2.497 states/eV/atom
uncorrected energy = -20.9 eV per cell
ρ = 5.57 g/cm³
formation energy from raw total energies = 1.43 eV/atom

Cell lengths 5.550, 5.550, 5.451 Å; angles 90.00, 90.00, 90.00 degrees
Atoms (fractional coordinates):
Sb  0.000  0.500  0.000
N  0.500  0.500  0.500
I  0.000  0.000  0.500
Hf  0.000  0.000  0.000
Sb  0.500  0.000  0.000

DFT (PBE) results for a relaxed HfSbI2N crystal.

## Properties
D(E_F) = 0.931 states/eV/atom
uncorrected energy = -20.8 eV per cell
ρ = 8.24 g/cm³
formation energy from raw total energies = 0.95 eV/atom

Cell lengths 4.818, 4.818, 4.935 Å; angles 90.00, 90.00, 90.00 degrees
Atoms (fractional coordinates):
Hf  0.500  0.500  0.500
Sb  0.000  0.000  0.500
I  0.500  0.000  0.000
N  0.000  0.000  0.000
I  0.000  0.500  0.000

DFT (PBE) results for a relaxed HfSeI2N crystal.

## Properties
D(E_F) = 0.000 states/eV/atom
uncorrected energy = -22.7 eV per cell
ρ = 5.08 g/cm³
formation energy from raw total energies = 0.44 eV/atom

Cell lengths 5.823, 5.061, 5.823 Å; angles 90.00, 90.00, 90.00 degrees
Atoms (fractional coordinates):
N  0.500  0.500  0.500
Hf  0.000  0.000  0.000
Se  0.000  0.500  0.000
I  0.500  0.000  0.000
I  0.000  0.000  0.500

DFT (PBE) results for a relaxed HfSe2IN crystal.

## Properties
D(E_F) = 0.893 states/eV/atom
uncorrected energy = -20.8 eV per cell
ρ = 6.90 g/cm³
formation energy from raw total energies = 1.19 eV/atom

Cell lengths 5.442, 5.442, 3.880 Å; angles 90.00, 90.00, 90.00 degrees
Atoms (fractional coordinates):
Se  0.000  0.500  0.000
Hf  0.500  0.500  0.500
I  0.000  0.000  0.000
Se  0.500  0.000  0.000
N  0.000  0.000  0.500